Density functional theory data (GGA-PBE) for a geometry-optimized CaDy2Rh structure.

a = 3.523 Å, b = 3.523 Å, c = 9.178 Å
α = 90.00°, β = 90.00°, γ = 90.00°
Positions (direct):
Ca (0.500, 0.500, 0.500)
Rh (0.500, 0.500, 0.000)
Dy (0.000, 0.000, 0.826)
Dy (0.000, 0.000, 0.174)

Computed properties:
- density of states at the Fermi level (states/eV per cell) = 2.47
- formation energy from the elements (meV/atom) = -399
- ρ (g/cm3) = 6.8

Density functional theory data (GGA-PBE) for a geometry-optimized Cs3As2Pt structure.

a = 4.252 Å, b = 11.996 Å, c = 12.635 Å
α = 66.43°, β = 80.31°, γ = 79.79°
Positions (direct):
Cs (0.026, 0.181, 0.766)
Cs (0.974, 0.819, 0.234)
Cs (0.679, 0.675, 0.966)
Cs (0.321, 0.325, 0.034)
Cs (0.819, 0.770, 0.592)
Cs (0.181, 0.230, 0.408)
As (0.870, 0.467, 0.794)
As (0.130, 0.533, 0.206)
As (0.537, 0.389, 0.537)
As (0.463, 0.611, 0.463)
Pt (0.415, 0.480, 0.690)
Pt (0.585, 0.520, 0.310)

Computed properties:
- density of states at the Fermi level (states/eV per cell) = 9.11
- formation energy from the elements (meV/atom) = -258
- ρ (g/cm3) = 4.3

Density functional theory data (GGA-PBE) for a geometry-optimized Sr2NdN structure.

a = 3.725 Å, b = 3.725 Å, c = 10.742 Å
α = 80.01°, β = 80.01°, γ = 60.00°
Positions (direct):
Sr (0.122, 0.122, 0.633)
Sr (0.878, 0.878, 0.367)
Nd (0.000, 0.000, 0.000)
N (0.500, 0.500, 0.500)

Computed properties:
- energy relative to the elements, uncorrected (eV per atom) = -0.256
- density of states at the Fermi level (states/eV per cell) = 3.16
- ρ (g/cm3) = 4.4

Copy entry 3 word for word.
Density functional theory data (GGA-PBE) for a geometry-optimized Sr2NdN structure.

a = 3.725 Å, b = 3.725 Å, c = 10.742 Å
α = 80.01°, β = 80.01°, γ = 60.00°
Positions (direct):
Sr (0.122, 0.122, 0.633)
Sr (0.878, 0.878, 0.367)
Nd (0.000, 0.000, 0.000)
N (0.500, 0.500, 0.500)

Computed properties:
- energy relative to the elements, uncorrected (eV per atom) = -0.256
- density of states at the Fermi level (states/eV per cell) = 3.16
- ρ (g/cm3) = 4.4

Which value of ρ does entry 3 give?
4.4 g/cm3

Which value of density of states at the Fermi level does entry 3 give?
3.16 states/eV per cell

Look up the ρ of the third one.
4.4 g/cm3